No. 1
A plane-wave DFT calculation with PBE was carried out for an optimized crystal structure of CeSm2HfN4.

Properties
final energy = -71.19 eV per cell
SG = P2/m
DOS at the Fermi energy = 0.465 states/eV per atom

Unit cell a=3.4567 b=6.0240 c=6.0315 alpha=108.97 beta=90.00 gamma=90.00
With the nearest neighbours (Å) after each atom.
Fractional coordinates of all 8 atoms:
N1 0.0000 0.7623 0.2280  1 Hf 2.29, 2 Ce 2.44, 2 Sm 2.49
N2 0.5000 0.2264 0.2205  2 Hf 2.33, 1 Ce 2.43, 3 Sm 2.49-2.60
N3 0.5000 0.7736 0.7795  2 Hf 2.33, 1 Ce 2.43, 3 Sm 2.49-2.60
N4 0.0000 0.2377 0.7720  1 Hf 2.29, 2 Ce 2.44, 2 Sm 2.49
Sm1 0.0000 0.5000 0.5000  6 N 2.60-2.62
Sm2 0.5000 0.0000 0.5000  6 N 2.49
Hf1 0.0000 0.0000 0.0000  6 N 2.29-2.33
Ce1 0.5000 0.5000 0.0000  6 N 2.43-2.44


No. 2
A plane-wave DFT calculation with PBE was carried out for an optimized crystal structure of Ho2ErGa2.

Properties
calculated formation energy = -0.256 eV/atom
final energy = -42.10 eV per cell
SG = Ibam
DOS at the Fermi energy = 1.130 states/eV per atom

Unit cell a=6.1407 b=8.1022 c=7.4588 alpha=122.90 beta=114.31 gamma=90.00
With the nearest neighbours (Å) after each atom.
Fractional coordinates of all 10 atoms:
Er1 0.7500 0.5000 0.0000  4 Ga 2.95, 2 Er 3.07
Er2 0.2500 0.5000 0.0000  4 Ga 2.95, 2 Er 3.07
Ga1 0.1112 0.8834 0.2224  3 Ho 2.84-2.96, 2 Er 2.95
Ga2 0.8888 0.1166 0.7776  3 Ho 2.84-2.96, 2 Er 2.95
Ga3 0.6112 0.3390 0.2224  3 Ho 2.84-2.96, 2 Er 2.95
Ga4 0.3888 0.6610 0.7776  3 Ho 2.84-2.96, 2 Er 2.95
Ho1 0.8495 0.7180 0.6990  3 Ga 2.84-2.96
Ho2 0.1505 0.2820 0.3010  3 Ga 2.84-2.96
Ho3 0.3495 0.9809 0.6990  3 Ga 2.84-2.96
Ho4 0.6505 0.0191 0.3010  3 Ga 2.84-2.96


No. 3
A plane-wave DFT calculation with PBE was carried out for an optimized crystal structure of Pm2Sm3TmAs6.

Properties
calculated formation energy = -1.517 eV/atom
final energy = -74.23 eV per cell
SG = C2/m
DOS at the Fermi energy = 0.147 states/eV per atom

Unit cell a=4.2007 b=8.3950 c=9.3869 alpha=102.94 beta=102.93 gamma=90.00
With the nearest neighbours (Å) after each atom.
Fractional coordinates of all 12 atoms:
Sm1 0.5000 0.5000 0.0000  6 As 2.96-3.01
Sm2 0.8328 0.1660 0.6656  6 As 2.96-3.00
Sm3 0.1672 0.8340 0.3344  6 As 2.96-3.00
Tm1 0.5000 0.0000 0.0000  6 As 2.92-2.93
As1 0.6664 0.5841 0.3328  3 Sm 2.96-2.97, 3 Pm 2.98-2.99
As2 0.3359 0.9193 0.6718  1 Tm 2.92, 3 Sm 2.96-3.00, 2 Pm 2.97
As3 0.3336 0.4159 0.6672  3 Sm 2.96-2.97, 3 Pm 2.98-2.99
As4 0.6641 0.0807 0.3282  1 Tm 2.92, 3 Sm 2.96-3.00, 2 Pm 2.97
As5 0.0009 0.7571 0.0018  2 Tm 2.93, 3 Sm 2.96-3.01, 1 Pm 2.97
As6 0.9991 0.2429 0.9982  2 Tm 2.93, 3 Sm 2.96-3.01, 1 Pm 2.97
Pm1 0.8343 0.6680 0.6687  6 As 2.97-2.99
Pm2 0.1657 0.3320 0.3313  6 As 2.97-2.99